[1]
Material: MnVGeRh
Method: DFT, PBE-GGA
State: optimized geometry

final energy: -7.88 eV per atom
energy relative to the lowest polymorph listed for this composition: 0.00 eV per formula unit
E_form: -319 meV/atom
total moment: 1.36 μB/f.u.
volume: 13.8 A^3/atom

CIF file:
```
data_MnVGeRh
_chemical_formula_sum 'Mn4 V4 Ge4 Rh4'
_cell_length_a 6.047
_cell_length_b 6.047
_cell_length_c 6.047
_cell_angle_alpha 90.00
_cell_angle_beta 90.00
_cell_angle_gamma 90.00
_symmetry_space_group_name_H-M 'F -4 3 m'
_symmetry_Int_Tables_number 216
_symmetry_space_group_name_Hall 'F -4 2 3'
loop_
_atom_site_label
_atom_site_type_symbol
_atom_site_fract_x
_atom_site_fract_y
_atom_site_fract_z
Mn1 Mn 0.000 0.000 0.000
V1 V 0.250 0.250 0.250
Ge1 Ge 0.000 0.000 0.500
Rh1 Rh 0.250 0.250 0.750
```

---

[2]
Material: MnVGeRh
Method: DFT, PBE-GGA
State: optimized geometry

final energy: -7.83 eV per atom
energy relative to the lowest polymorph listed for this composition: 0.23 eV per formula unit
E_form: -263 meV/atom
total moment: 0.73 μB/f.u.
volume: 13.0 A^3/atom

CIF file:
```
data_MnVGeRh
_chemical_formula_sum 'Mn4 V4 Ge4 Rh4'
_cell_length_a 5.931
_cell_length_b 5.931
_cell_length_c 5.931
_cell_angle_alpha 90.00
_cell_angle_beta 90.00
_cell_angle_gamma 90.00
_symmetry_space_group_name_H-M 'F -4 3 m'
_symmetry_Int_Tables_number 216
_symmetry_space_group_name_Hall 'F -4 2 3'
loop_
_atom_site_label
_atom_site_type_symbol
_atom_site_fract_x
_atom_site_fract_y
_atom_site_fract_z
Mn1 Mn 0.000 0.000 0.000
V1 V 0.250 0.250 0.750
Ge1 Ge 0.250 0.250 0.250
Rh1 Rh 0.000 0.000 0.500
```

---

[3]
Material: Y2MnGe3Rh4
Method: DFT, PBE-GGA
State: optimized geometry

final energy: -7.31 eV per atom
E_form: -776 meV/atom
total moment: 3.48 μB/f.u.
volume: 17.8 A^3/atom

CIF file:
```
data_Y2MnGe3Rh4
_chemical_formula_sum 'Y2 Mn1 Ge3 Rh4'
_cell_length_a 4.111
_cell_length_b 4.111
_cell_length_c 10.530
_cell_angle_alpha 90.00
_cell_angle_beta 90.00
_cell_angle_gamma 90.00
_symmetry_space_group_name_H-M 'P -4 m 2'
_symmetry_Int_Tables_number 115
loop_
_symmetry_equiv_pos_as_xyz
'x,y,z'
'y,-x,-z'
'-x,-y,z'
'-y,x,-z'
'-x,y,z'
'-y,-x,-z'
'x,-y,z'
'y,x,-z'
loop_
_atom_site_label
_atom_site_type_symbol
_atom_site_fract_x
_atom_site_fract_y
_atom_site_fract_z
Y1 Y 0.000 0.500 0.248
Mn1 Mn 0.000 0.000 0.500
Ge1 Ge 0.000 0.500 0.870
Ge2 Ge 0.500 0.500 0.500
Rh1 Rh 0.000 0.000 0.000
Rh2 Rh 0.000 0.500 0.639
Rh3 Rh 0.500 0.500 0.000
```

---

[4]
Material: Y2MnGe4Rh3
Method: DFT, PBE-GGA
State: optimized geometry

final energy: -6.99 eV per atom
E_form: -729 meV/atom
total moment: 2.99 μB/f.u.
volume: 17.9 A^3/atom

CIF file:
```
data_Y2MnGe4Rh3
_chemical_formula_sum 'Y2 Mn1 Ge4 Rh3'
_cell_length_a 4.121
_cell_length_b 4.121
_cell_length_c 10.532
_cell_angle_alpha 90.00
_cell_angle_beta 90.00
_cell_angle_gamma 90.00
_symmetry_space_group_name_H-M 'P -4 m 2'
_symmetry_Int_Tables_number 115
loop_
_symmetry_equiv_pos_as_xyz
'x,y,z'
'y,-x,-z'
'-x,-y,z'
'-y,x,-z'
'-x,y,z'
'-y,-x,-z'
'x,-y,z'
'y,x,-z'
loop_
_atom_site_label
_atom_site_type_symbol
_atom_site_fract_x
_atom_site_fract_y
_atom_site_fract_z
Y1 Y 0.000 0.500 0.249
Mn1 Mn 0.000 0.000 0.500
Ge1 Ge 0.000 0.000 0.000
Ge2 Ge 0.000 0.500 0.637
Ge3 Ge 0.500 0.500 0.000
Rh1 Rh 0.000 0.500 0.869
Rh2 Rh 0.500 0.500 0.500
```

---

[5]
Material: YMnGe2Rh
Method: DFT, PBE-GGA
State: optimized geometry

final energy: -4.82 eV per atom
energy relative to the lowest polymorph listed for this composition: 11.53 eV per formula unit
E_form: 1627 meV/atom
total moment: 0.41 μB/f.u.
volume: 27.0 A^3/atom

CIF file:
```
data_YMnGe2Rh
_chemical_formula_sum 'Y1 Mn1 Ge2 Rh1'
_cell_length_a 5.281
_cell_length_b 5.281
_cell_length_c 4.845
_cell_angle_alpha 90.00
_cell_angle_beta 90.00
_cell_angle_gamma 90.00
_symmetry_space_group_name_H-M 'P 4/m m m'
_symmetry_Int_Tables_number 123
_symmetry_space_group_name_Hall '-P 4 2'
loop_
_atom_site_label
_atom_site_type_symbol
_atom_site_fract_x
_atom_site_fract_y
_atom_site_fract_z
Y1 Y 0.000 0.000 0.000
Mn1 Mn 0.500 0.500 0.500
Ge1 Ge 0.000 0.500 0.000
Rh1 Rh 0.000 0.000 0.500
```

---

[6]
Material: YMnGe2Rh
Method: DFT, PBE-GGA
State: optimized geometry

final energy: -7.12 eV per atom
energy relative to the lowest polymorph listed for this composition: 0.00 eV per formula unit
E_form: -678 meV/atom
total moment: 3.22 μB/f.u.
volume: 17.6 A^3/atom

CIF file:
```
data_YMnGe2Rh
_chemical_formula_sum 'Y2 Mn2 Ge4 Rh2'
_cell_length_a 4.064
_cell_length_b 4.064
_cell_length_c 10.657
_cell_angle_alpha 90.00
_cell_angle_beta 90.00
_cell_angle_gamma 90.00
_symmetry_space_group_name_H-M 'I -4 m 2'
_symmetry_Int_Tables_number 119
_symmetry_space_group_name_Hall 'I -4 -2'
loop_
_atom_site_label
_atom_site_type_symbol
_atom_site_fract_x
_atom_site_fract_y
_atom_site_fract_z
Y1 Y 0.000 0.000 0.000
Mn1 Mn 0.000 0.500 0.250
Ge1 Ge 0.000 0.000 0.383
Rh1 Rh 0.000 0.500 0.750
```